Record 1
Entry from Alexandria via LeMat-Bulk: crystalline HoErCl at its relaxed geometry (PBE).

Geometry as CIF:
```
data_HoErCl
_chemical_formula_sum 'Ho1 Er1 Cl1'
_symmetry_space_group_name_H-M 'P 3 m 1'
_symmetry_Int_Tables_number 156
_cell_length_a 3.6367
_cell_length_b 3.6367
_cell_length_c 6.9325
_cell_angle_alpha 90.00
_cell_angle_beta 90.00
_cell_angle_gamma 120.00
loop_
_symmetry_equiv_pos_as_xyz
'x,y,z'
'-y,x-y,z'
'-x+y,-x,z'
'-y,-x,z'
'-x+y,y,z'
'x,x-y,z'
loop_
_atom_site_label
_atom_site_type_symbol
_atom_site_fract_x
_atom_site_fract_y
_atom_site_fract_z
_atom_site_occupancy
Ho1 Ho 0.0000 0.0000 0.0000 1
Er1 Er 0.3333 0.6667 0.6223 1
Cl1 Cl 0.6667 0.3333 0.3122 1
```

Properties
**Crystal system**: trigonal
**Formation energy (no corrections)**: -85.9 kJ/mol of atoms

=====

Record 2
Entry from Alexandria via LeMat-Bulk: crystalline Ho3ErCl at its relaxed geometry (PBE).

Geometry as CIF:
```
data_Ho3ErCl
_chemical_formula_sum 'Ho3 Er1 Cl1'
_symmetry_space_group_name_H-M 'P m -3 m'
_symmetry_Int_Tables_number 221
_symmetry_space_group_name_Hall '-P 4 2 3'
_cell_length_a 5.238
_cell_length_b 5.238
_cell_length_c 5.238
_cell_angle_alpha 90.00
_cell_angle_beta 90.00
_cell_angle_gamma 90.00
loop_
_atom_site_label
_atom_site_type_symbol
_atom_site_fract_x
_atom_site_fract_y
_atom_site_fract_z
_atom_site_occupancy
Ho1 Ho 0.000 0.000 0.500 1
Er1 Er 0.500 0.500 0.500 1
Cl1 Cl 0.000 0.000 0.000 1
```

Properties
**Crystal system**: cubic
**Formation energy (no corrections)**: -40.7 kJ/mol of atoms

=====

Record 3
Entry from Alexandria via LeMat-Bulk: crystalline ErI2Cl at its relaxed geometry (PBE).

Geometry as CIF:
```
data_ErI2Cl
_chemical_formula_sum 'Er1 I2 Cl1'
_symmetry_space_group_name_H-M 'P -1'
_symmetry_Int_Tables_number 2
_cell_length_a 4.302
_cell_length_b 5.234
_cell_length_c 8.623
_cell_angle_alpha 90.90
_cell_angle_beta 104.33
_cell_angle_gamma 90.00
loop_
_symmetry_equiv_pos_as_xyz
'x,y,z'
'-x,-y,-z'
loop_
_atom_site_label
_atom_site_type_symbol
_atom_site_fract_x
_atom_site_fract_y
_atom_site_fract_z
_atom_site_occupancy
Er1 Er 0.000 0.000 0.000 1
I1 I 0.374 0.993 0.746 1
Cl1 Cl 0.000 0.500 0.000 1
```

Properties
**Crystal system**: triclinic
**Formation energy (no corrections)**: -160.3 kJ/mol of atoms